NiSeO2: relaxed, GGA+U.

Unit cell a=3.0570 b=3.0570 c=18.0205 alpha=90.00 beta=90.00 gamma=120.00
Space group R-3m (No. 166, hexagonal axes)
Asymmetric unit:
Ni1 0.0000 0.0000 0.0000
Se1 0.0000 0.0000 0.5000
O1 0.0000 0.0000 0.3933

Output
total DFT energy (no corrections) = -4.68 eV per atom
magnetic moment = 1.66 μB per formula unit